Here is a relaxed structure of Fe2AsOs from the Alexandria database. Energies are from PBE.

abc: 4.492 4.492 4.492
angles: 131.00 131.00 71.81
Last column: magnetic moment on the atom in μB.
Fractional coordinates of all 4 atoms:
As (0.750, 0.250, 0.500)  -0.01
Fe (0.000, 0.000, 0.000)  1.66
Fe (0.250, 0.750, 0.500)  -1.28
Os (0.500, 0.500, 0.000)  0.00

Output
E	-0.291	Ha/atom
space group	I-4m2, No. 119

---

Here is a relaxed structure of CsNbIn2 from the Alexandria database. Energies are from PBE.

abc: 5.566 5.566 5.566
angles: 60.00 60.00 60.00
Last column: magnetic moment on the atom in μB.
Fractional coordinates of all 4 atoms:
Cs (0.500, 0.500, 0.500)  0.03
Nb (0.000, 0.000, 0.000)  2.13
In (0.250, 0.250, 0.250)  -0.02
In (0.750, 0.750, 0.750)  -0.02

Output
E	-0.117	Ha/atom
space group	Fm-3m, No. 225

---

Here is a relaxed structure of NbOsPd2 from the Alexandria database. Energies are from PBE.

abc: 3.773 3.773 9.822
angles: 78.93 78.93 90.00
Fractional coordinates of all 8 atoms:
Nb (0.500, 0.500, 0.000)
Nb (0.250, 0.750, 0.500)
Os (0.000, 0.000, 0.000)
Os (0.750, 0.250, 0.500)
Pd (0.632, 0.125, 0.250)
Pd (0.118, 0.625, 0.250)
Pd (0.375, 0.368, 0.750)
Pd (0.875, 0.882, 0.750)

Output
E	-0.282	Ha/atom
space group	I-42d, No. 122
excess energy over the best structure of this formula in the dataset	438	meV/atom

---

Q: Which calculated density values were calculated for the entries above? A: 12.4 6.2 12.2, in g cm⁻³.